Entry 1:
VASP calculation (PBE) on a geometry-optimized Mg2InCoRe structure.

Properties
Spin magnetization ... 1.092 Bohr magnetons per cell
Uncorrected energy ... -22.32 eV/cell
E_form ... 0.632 eV/atom

a b c (Å): 4.685 4.685 4.507
angles (deg): 90.00 90.00 90.00
Sites, in units of the cell vectors:
Mg 0.000 0.500 0.000
Mg 0.500 0.000 0.000
In 0.000 0.000 0.500
Co 0.500 0.500 0.000
Re 0.500 0.500 0.500

Entry 2:
VASP calculation (PBE) on a geometry-optimized TbMgInCo structure.

Properties
Spin magnetization ... 0.962 Bohr magnetons per cell
Uncorrected energy ... -16.35 eV/cell
E_form ... -0.071 eV/atom

a b c (Å): 4.807 4.807 4.807
angles (deg): 60.00 60.00 60.00
Sites, in units of the cell vectors:
Tb 0.000 0.000 0.000
Mg 0.750 0.750 0.750
In 0.500 0.500 0.500
Co 0.250 0.250 0.250

Entry 3:
VASP calculation (PBE) on a geometry-optimized Th3Mg2In3Co structure.

Properties
Spin magnetization ... 0.000 Bohr magnetons per cell
Uncorrected energy ... -42.51 eV/cell
E_form ... -0.193 eV/atom

a b c (Å): 8.654 8.654 3.571
angles (deg): 90.00 90.00 120.00
Sites, in units of the cell vectors:
Th 0.000 0.245 0.000
Th 0.245 0.000 0.000
Th 0.755 0.755 0.000
Mg 0.333 0.667 0.000
Mg 0.667 0.333 0.000
In 0.000 0.597 0.500
In 0.403 0.403 0.500
In 0.597 0.000 0.500
Co 0.000 0.000 0.500

Entry 4:
VASP calculation (PBE) on a geometry-optimized ThMgIn2Co structure.

Properties
Spin magnetization ... 0.000 Bohr magnetons per cell
Uncorrected energy ... -45.06 eV/cell
E_form ... -0.186 eV/atom

a b c (Å): 9.354 9.354 7.327
angles (deg): 90.00 90.00 157.15
Sites, in units of the cell vectors:
Th 0.013 0.987 0.750
Th 0.987 0.013 0.250
Mg 0.222 0.778 0.750
Mg 0.778 0.222 0.250
In 0.359 0.641 0.532
In 0.359 0.641 0.968
In 0.641 0.359 0.032
In 0.641 0.359 0.468
Co 0.500 0.500 0.000
Co 0.500 0.500 0.500

Entry 5:
VASP calculation (PBE) on a geometry-optimized MgTlIn2Co structure.

Properties
Spin magnetization ... 0.000 Bohr magnetons per cell
Uncorrected energy ... -16.29 eV/cell
E_form ... 0.050 eV/atom

a b c (Å): 4.969 4.969 4.989
angles (deg): 90.00 90.00 90.00
Sites, in units of the cell vectors:
Mg 0.000 0.000 0.000
Tl 0.500 0.500 0.000
In 0.000 0.500 0.500
In 0.500 0.000 0.500
Co 0.000 0.000 0.500

Entry 6:
VASP calculation (PBE) on a geometry-optimized TmMgInCo structure.

Properties
Spin magnetization ... 0.528 Bohr magnetons per cell
Uncorrected energy ... -16.18 eV/cell
E_form ... -0.069 eV/atom

a b c (Å): 4.753 4.753 4.753
angles (deg): 60.00 60.00 60.00
Sites, in units of the cell vectors:
Tm 0.000 0.000 0.000
Mg 0.250 0.250 0.250
In 0.500 0.500 0.500
Co 0.750 0.750 0.750

Entry 7:
VASP calculation (PBE) on a geometry-optimized MgZrInCo2 structure.

Properties
Spin magnetization ... 3.610 Bohr magnetons per cell
Uncorrected energy ... -21.08 eV/cell
E_form ... 1.202 eV/atom

a b c (Å): 4.752 4.752 5.301
angles (deg): 90.00 90.00 90.00
Sites, in units of the cell vectors:
Mg 0.000 0.000 0.000
Zr 0.500 0.500 0.000
In 0.500 0.500 0.500
Co 0.000 0.500 0.500
Co 0.500 0.000 0.500

Entry 8:
VASP calculation (PBE) on a geometry-optimized MgZrInCo structure.

Properties
Spin magnetization ... 0.000 Bohr magnetons per cell
Uncorrected energy ... -20.54 eV/cell
E_form ... -0.139 eV/atom

a b c (Å): 4.614 4.614 4.614
angles (deg): 60.00 60.00 60.00
Sites, in units of the cell vectors:
Mg 0.000 0.000 0.000
Zr 0.750 0.750 0.750
In 0.250 0.250 0.250
Co 0.500 0.500 0.500